[1]
Below is Zr2TiSO after structural relaxation, with properties calculated at the GGA-PBEsol level.

a b c (Å): 4.4557 4.4557 3.8082
angles (deg): 90.00 90.00 90.00
Space group P4/mmm (No. 123)
Unique sites:
Zr  0.0000  0.5000  0.0000 [2 per cell]
Ti  0.0000  0.0000  0.5000 [1 per cell]
S  0.5000  0.5000  0.5000 [1 per cell]
O  0.0000  0.0000  0.0000 [1 per cell]

Results
Energy relative to the elements, uncorrected, eV/atom: -1.216
Final energy, eV for the cell shown: -42.22

***

[2]
Below is Tm2S2O after structural relaxation, with properties calculated at the GGA-PBEsol level.

a b c (Å): 8.0528 6.7247 6.6996
angles (deg): 90.00 99.83 90.00
Space group P2_1/c (No. 14)
Unique sites:
Tm  0.0747  0.1460  0.3232 [4 per cell]
Tm  0.3623  0.5535  0.2509 [4 per cell]
S  0.1827  0.6305  0.5784 [4 per cell]
S  0.4238  0.2216  0.4698 [4 per cell]
O  0.1164  0.0869  0.6501 [4 per cell]

Results
Energy relative to the elements, uncorrected, eV/atom: -2.712
Final energy, eV for the cell shown: -149.49

***

[3]
Below is USO6 after structural relaxation, with properties calculated at the GGA-PBEsol level.

a b c (Å): 6.7331 5.8587 12.8344
angles (deg): 90.00 103.22 90.00
Space group P2_1/c (No. 14)
Unique sites:
U  0.1779  0.2478  0.3382 [4 per cell]
S  0.2851  0.5408  0.1050 [4 per cell]
O  0.0889  0.5226  0.7694 [4 per cell]
O  0.1158  0.7069  0.0965 [4 per cell]
O  0.2541  0.5124  0.4037 [4 per cell]
O  0.2633  0.1456  0.6794 [4 per cell]
O  0.2804  0.0570  0.4987 [4 per cell]
O  0.4804  0.6591  0.1450 [4 per cell]

Results
Energy relative to the elements, uncorrected, eV/atom: -2.207
Final energy, eV for the cell shown: -262.78